(1)
Pm2BeCdPt6, relaxed, DFT PBE; DOS(E_F) = 0.35 states/eV per atom; M_tot = 0.000 μB per atom; ΔE_f = -696 meV per atom
1.0
5.672 0.033 0.026
-0.050 7.690 1.441
2.785 4.864 5.461
Pt Be Pm Cd
6 1 2 1
Direct
0.764 0.723 0.471
0.236 0.764 0.042
0.277 0.236 0.958
0.236 0.277 0.529
0.764 0.236 0.958
0.723 0.764 0.042
0.000 0.000 0.000
0.783 0.217 0.435
0.217 0.783 0.565
0.500 0.500 0.000



(2)
Pm2Be3CdPt4, relaxed, DFT PBE; DOS(E_F) = 0.36 states/eV per atom; M_tot = 0.000 μB per atom; ΔE_f = -775 meV per atom
1.0
4.070 0.000 0.000
0.000 4.070 0.000
0.000 0.000 10.526
Pt Be Pm Cd
4 3 2 1
Direct
0.000 0.500 0.332
0.500 0.500 0.000
0.000 0.000 0.000
0.500 0.000 0.668
0.000 0.000 0.500
0.000 0.500 0.110
0.500 0.000 0.890
0.500 0.000 0.233
0.000 0.500 0.767
0.500 0.500 0.500



(3)
PmScBeCd, relaxed, DFT PBE; DOS(E_F) = 1.07 states/eV per atom; M_tot = 0.000 μB per atom; ΔE_f = -12 meV per atom
1.0
-1.784 3.244 -3.393
-3.032 -1.613 -3.664
-4.864 1.248 0.035
Sc Be Pm Cd
1 1 1 1
Direct
0.750 0.750 0.750
0.500 0.500 0.500
0.250 0.250 0.250
0.000 0.000 0.000